Entry 1:
Material: SrLiZr2
Method: DFT, PBE
State: optimized geometry

## Properties
Total energy (eV/atom): -4.630
E above lowest polymorph (eV/atom): 0.2867

Geometry as extended XYZ:
```
12
Lattice="3.2673 0.0000 0.0000 -1.6337 2.8296 0.0000 0.0000 0.0000 33.3906" Properties=species:S:1:pos:R:3 pbc="T T T"
Sr 0.0000 0.0000 0.0000
Sr 0.0000 1.8864 22.2604
Sr 1.6337 0.9432 11.1302
Li 0.0000 0.0000 16.6953
Li 0.0000 1.8864 5.5651
Li 1.6337 0.9432 27.8255
Zr 0.0000 0.0000 8.0376
Zr 0.0000 0.0000 25.3530
Zr 0.0000 1.8864 14.2228
Zr 0.0000 1.8864 30.2980
Zr 1.6337 0.9432 3.0926
Zr 1.6337 0.9432 19.1678
```

Entry 2:
Material: ScCrCd4
Method: DFT, PBE
State: optimized geometry

## Properties
Total energy (eV/atom): -3.133

Geometry as extended XYZ:
```
6
Lattice="0.0000 3.9961 3.9961 3.9961 0.0000 3.9961 3.9961 3.9961 0.0000" Properties=species:S:1:pos:R:3 pbc="T T T"
Sc 0.0000 0.0000 0.0000
Cr 1.9980 1.9980 1.9980
Cd 4.9939 2.9982 2.9982
Cd 2.9982 4.9939 2.9982
Cd 2.9982 2.9982 4.9939
Cd 4.9939 4.9939 4.9939
```

Entry 3:
Material: Sr5PmPb6
Method: DFT, PBE
State: optimized geometry

## Properties
Total energy (eV/atom): -3.471

Geometry as extended XYZ:
```
12
Lattice="8.9596 -3.7959 0.0000 8.9596 3.7959 0.0000 -0.8177 0.0000 5.9880" Properties=species:S:1:pos:R:3 pbc="T T T"
Sr 0.0000 0.0000 0.0000
Sr 2.4173 0.0000 4.0772
Sr 5.5178 0.0000 1.8139
Sr 11.5837 0.0000 4.1740
Sr 14.6842 0.0000 1.9108
Pm 8.9596 0.0000 0.0000
Pb 5.4852 1.7722 4.8617
Pb 8.5508 1.7096 2.9940
Pb 11.6163 1.7722 1.1262
Pb 5.4852 -1.7722 4.8617
Pb 8.5508 -1.7096 2.9940
Pb 11.6163 -1.7722 1.1262
```

Entry 4:
Material: Pm3Tc5H12
Method: DFT, PBE
State: optimized geometry

## Properties
Total energy (eV/atom): -5.418

Geometry as extended XYZ:
```
80
Lattice="-5.8470 5.8470 5.8470 5.8470 -5.8470 5.8470 5.8470 5.8470 -5.8470" Properties=species:S:1:pos:R:3 pbc="T T T"
Pm 2.9235 1.4617 0.0000
Pm 5.8470 2.9235 -1.4617
Pm 1.4617 0.0000 2.9235
Pm 7.3087 0.0000 2.9235
Pm 0.0000 2.9235 1.4617
Pm 2.9235 -1.4617 5.8470
Pm 2.9235 7.3087 0.0000
Pm 5.8470 2.9235 4.3852
Pm -1.4617 5.8470 2.9235
Pm 4.3852 5.8470 2.9235
Pm 0.0000 2.9235 7.3087
Pm 2.9235 4.3852 5.8470
Tc 0.0000 0.0000 0.0000
Tc 2.9235 2.9235 -2.9235
Tc 2.9235 -2.9235 2.9235
Tc 5.8470 0.0000 0.0000
Tc 8.7705 1.4617 0.0000
Tc 5.8470 -2.9235 4.3852
Tc 4.3852 5.8470 -2.9235
Tc 4.3852 0.0000 2.9235
Tc 2.9235 4.3852 0.0000
Tc 5.8470 2.9235 1.4617
Tc -2.9235 2.9235 2.9235
Tc 0.0000 5.8470 0.0000
Tc 0.0000 0.0000 5.8470
Tc 2.9235 2.9235 2.9235
Tc 0.0000 2.9235 4.3852
Tc 2.9235 1.4617 5.8470
Tc 1.4617 5.8470 2.9235
Tc 1.4617 0.0000 8.7705
Tc 0.0000 8.7705 1.4617
Tc -2.9235 4.3852 5.8470
H 1.6424 -0.4058 0.6800
H 7.1281 3.6035 -3.3293
H 5.4412 -0.6800 1.6424
H 9.1762 -1.2811 2.2435
H 7.4893 0.4058 0.6800
H 7.1281 -2.2435 3.3293
H 0.6800 1.6424 -0.4058
H 8.0904 2.5177 -1.2811
H 3.6035 3.3293 -1.2811
H 5.1669 1.6424 0.4058
H -0.4058 0.6800 1.6424
H 3.3293 -1.2811 3.6035
H 5.4412 5.1669 -1.6424
H 3.3293 1.2811 2.2435
H 5.1669 -1.6424 5.4412
H 3.6035 -3.3293 7.1281
H 2.2435 3.3293 1.2811
H 6.5270 4.2046 0.4058
H 1.6424 5.4412 -0.6800
H 7.1281 2.2435 2.5177
H 3.3293 7.1281 -2.2435
H 5.4412 0.6800 4.2046
H 1.2811 2.2435 3.3293
H 1.6424 0.4058 5.1669
H 4.2046 5.4412 0.6800
H 4.5659 3.6035 2.5177
H 0.4058 5.1669 1.6424
H 2.5177 -1.2811 8.0904
H -1.2811 3.6035 3.3293
H 4.2046 0.4058 6.5270
H -0.6800 1.6424 5.4412
H 3.6035 2.5177 4.5659
H 2.2435 9.1762 -1.2811
H 0.6800 7.4893 0.4058
H 2.5177 4.5659 3.6035
H 0.4058 0.6800 7.4893
H 2.5177 7.1281 2.2435
H 6.2528 5.1669 4.2046
H 0.6800 4.2046 5.4412
H 2.2435 2.5177 7.1281
H -2.2435 3.3293 7.1281
H 5.1669 4.2046 6.2528
H -1.2811 8.0904 2.5177
H -1.6424 5.4412 5.1669
H -3.3293 7.1281 3.6035
H 0.4058 6.5270 4.2046
H -1.2811 2.2435 9.1762
H 4.2046 6.2528 5.1669
```

Entry 5:
Material: AcPr6ErTm2
Method: DFT, PBE
State: optimized geometry

## Properties
Total energy (eV/atom): -4.511

Geometry as extended XYZ:
```
20
Lattice="4.7531 -7.7270 0.0000 4.7531 7.7270 0.0000 -0.9781 0.0000 9.7070" Properties=species:S:1:pos:R:3 pbc="T T T"
Ac 4.0196 7.2544 7.2802
Ac 4.5086 -7.2544 2.4267
Pr 1.9551 4.2478 6.6400
Pr 4.1177 4.9492 0.5221
Pr 4.8994 4.9492 4.3314
Pr 2.9706 1.7235 8.5726
Pr 6.0840 4.2478 7.9204
Pr 5.0686 1.7235 5.9879
Pr 3.4596 -1.7235 3.7191
Pr 2.4441 -4.2478 1.7865
Pr 5.5576 -1.7235 1.1344
Pr 3.6287 -4.9492 5.3756
Pr 4.4104 -4.9492 9.1849
Pr 6.5731 -4.2478 3.0669
Er 4.5086 1.3313 2.4267
Er 4.0196 -1.3313 7.2802
Tm 1.9327 0.8035 5.3321
Tm 2.4218 -0.8035 0.4787
Tm 6.1064 0.8035 9.2283
Tm 6.5954 -0.8035 4.3748
```

Entry 6:
Material: Dy3Y3ScS8
Method: DFT, PBE
State: optimized geometry

## Properties
Total energy (eV/atom): -6.876
Uncorrected formation energy (eV per atom): -2.0396

Geometry as extended XYZ:
```
15
Lattice="3.8854 2.2432 6.3493 -3.8854 2.2432 6.3493 0.0000 -4.4865 6.3493" Properties=species:S:1:pos:R:3 pbc="T T T"
Dy -1.9427 -1.1216 6.3493
Dy -1.9427 1.1216 12.6986
Dy 0.0000 2.2432 6.3493
Y -3.8854 0.0000 9.5239
Y -1.9427 1.1216 3.1746
Y 1.9427 1.1216 3.1747
Sc 0.0000 0.0000 0.0000
S 0.0000 -2.3043 7.8869
S -1.9956 1.1522 7.8869
S -1.9956 -1.1522 11.1611
S 0.0000 0.0000 4.7680
S 0.0000 0.0000 14.2799
S 1.9956 1.1521 7.8869
S 1.9956 -1.1521 11.1610
S 0.0000 2.3043 11.1610
```

Entry 7:
Material: TaNi2Ag
Method: DFT, PBE
State: optimized geometry

## Properties
Total energy (eV/atom): -6.320
E above lowest polymorph (eV/atom): 0.2572

Geometry as extended XYZ:
```
16
Lattice="6.1284 0.0000 0.0000 0.0000 6.1284 0.0000 0.0000 0.0000 6.1284" Properties=species:S:1:pos:R:3 pbc="T T T"
Ta 0.0000 0.0000 0.0000
Ta 0.0000 3.0642 3.0642
Ta 3.0642 0.0000 3.0642
Ta 3.0642 3.0642 0.0000
Ni 0.0000 0.0000 3.0642
Ni 0.0000 3.0642 0.0000
Ni 1.5321 1.5321 1.5321
Ni 1.5321 4.5963 4.5963
Ni 3.0642 0.0000 0.0000
Ni 3.0642 3.0642 3.0642
Ni 4.5963 1.5321 4.5963
Ni 4.5963 4.5963 1.5321
Ag 1.5321 1.5321 4.5963
Ag 1.5321 4.5963 1.5321
Ag 4.5963 1.5321 1.5321
Ag 4.5963 4.5963 4.5963
```

Entry 8:
Material: Rb3Nd3GeS8
Method: DFT, PBE
State: optimized geometry

## Properties
Total energy (eV/atom): -5.082
Uncorrected formation energy (eV per atom): -1.4257

Geometry as extended XYZ:
```
15
Lattice="4.0889 2.3607 7.8671 -4.0889 2.3607 7.8671 0.0000 -4.7214 7.8671" Properties=species:S:1:pos:R:3 pbc="T T T"
Rb -2.0444 -1.1804 7.8671
Rb -2.0444 1.1804 15.7341
Rb 0.0000 2.3607 7.8671
Nd -4.0889 0.0000 11.8006
Nd -2.0444 1.1804 3.9335
Nd 2.0444 1.1804 3.9335
Ge 0.0000 0.0000 11.8006
S 0.0000 0.0000 5.4841
S -1.8083 -1.0440 13.2176
S 0.0000 -2.0880 10.3837
S -1.8083 1.0440 10.3837
S 1.8083 -1.0440 13.2176
S 0.0000 2.0880 13.2176
S 1.8083 1.0440 10.3836
S 0.0000 0.0000 18.1171
```